# 1
## PmTeN (PBE)

Data for PmTeN after structural relaxation.

Geometry as CIF:
```
data_PmTeN
_chemical_formula_sum 'Pm2 Te2 N2'
_cell_length_a 3.5777
_cell_length_b 4.2868
_cell_length_c 11.3198
_cell_angle_alpha 90.75
_cell_angle_beta 89.71
_cell_angle_gamma 117.90
_symmetry_space_group_name_H-M 'P 1'
_symmetry_Int_Tables_number 1
_symmetry_space_group_name_Hall 'P 1'
loop_
_atom_site_label
_atom_site_type_symbol
_atom_site_fract_x
_atom_site_fract_y
_atom_site_fract_z
_atom_site_occupancy
Pm1 Pm 0.1202 0.2812 0.1249 1
Pm2 Pm 0.8798 0.7188 0.8751 1
Te1 Te 0.1559 0.3244 0.6751 1
Te2 Te 0.8441 0.6756 0.3249 1
N1 N 0.4498 0.8340 0.0204 1
N2 N 0.5502 0.1660 0.9796 1
```

**Total DFT energy (no corrections)**: -6.26 eV per atom
**Formation energy without anion corrections**: -0.854 eV per atom
**Space group**: P-1 (2)
**ΔE to the lowest computed polymorph**: 0.00 eV per formula unit


# 2
## Pm2Te2N (PBE)

Data for Pm2Te2N after structural relaxation.

Geometry as CIF:
```
data_Pm2Te2N
_chemical_formula_sum 'Pm4 Te4 N2'
_cell_length_a 6.1475
_cell_length_b 7.5962
_cell_length_c 7.7591
_cell_angle_alpha 119.31
_cell_angle_beta 113.34
_cell_angle_gamma 90.00
_symmetry_space_group_name_H-M 'P 1'
_symmetry_Int_Tables_number 1
_symmetry_space_group_name_Hall 'P 1'
loop_
_atom_site_label
_atom_site_type_symbol
_atom_site_fract_x
_atom_site_fract_y
_atom_site_fract_z
_atom_site_occupancy
Te1 Te 0.3550 0.9647 0.7099 1
Te2 Te 0.1450 0.2547 0.2901 1
Te3 Te 0.8550 0.7453 0.7099 1
Te4 Te 0.6450 0.0353 0.2901 1
Pm1 Pm 0.5902 0.4125 0.1805 1
Pm2 Pm 0.9098 0.2320 0.8195 1
Pm3 Pm 0.4098 0.5875 0.8195 1
Pm4 Pm 0.0902 0.7680 0.1805 1
N1 N 0.2500 0.5000 0.0000 1
N2 N 0.7500 0.5000 0.0000 1
```

**Total DFT energy (no corrections)**: -6.11 eV per atom
**Formation energy without anion corrections**: -1.290 eV per atom
**Space group**: Ibam (72)
**ΔE to the lowest computed polymorph**: 0.00 eV per formula unit


# 3
## Pm2ThTe2N2 (PBE)

Data for Pm2ThTe2N2 after structural relaxation.

Geometry as CIF:
```
data_Pm2ThTe2N2
_chemical_formula_sum 'Pm2 Th1 Te2 N2'
_cell_length_a 4.5859
_cell_length_b 4.5859
_cell_length_c 8.8235
_cell_angle_alpha 105.06
_cell_angle_beta 105.06
_cell_angle_gamma 90.00
_symmetry_space_group_name_H-M 'P 1'
_symmetry_Int_Tables_number 1
_symmetry_space_group_name_Hall 'P 1'
loop_
_atom_site_label
_atom_site_type_symbol
_atom_site_fract_x
_atom_site_fract_y
_atom_site_fract_z
_atom_site_occupancy
Pm1 Pm 0.3924 0.3924 0.7848 1
Pm2 Pm 0.6076 0.6076 0.2152 1
Te1 Te 0.1899 0.1899 0.3798 1
Te2 Te 0.8101 0.8101 0.6202 1
N1 N 0.0000 0.5000 0.0000 1
N2 N 0.5000 0.0000 0.0000 1
Th1 Th 0.0000 0.0000 0.0000 1
```

**Total DFT energy (no corrections)**: -6.96 eV per atom
**Formation energy without anion corrections**: -1.265 eV per atom
**Space group**: I4/mmm (139)


# 4
## PmThTe2N (PBE)

Data for PmThTe2N after structural relaxation.

Geometry as CIF:
```
data_PmThTe2N
_chemical_formula_sum 'Pm2 Th2 Te4 N2'
_cell_length_a 4.2459
_cell_length_b 4.2459
_cell_length_c 16.2748
_cell_angle_alpha 90.00
_cell_angle_beta 90.00
_cell_angle_gamma 90.00
_symmetry_space_group_name_H-M 'P 1'
_symmetry_Int_Tables_number 1
_symmetry_space_group_name_Hall 'P 1'
loop_
_atom_site_label
_atom_site_type_symbol
_atom_site_fract_x
_atom_site_fract_y
_atom_site_fract_z
_atom_site_occupancy
Pm1 Pm 0.0000 0.5000 0.8665 1
Pm2 Pm 0.5000 0.0000 0.1335 1
Te1 Te 0.5000 0.0000 0.9177 1
Te2 Te 0.0000 0.5000 0.6853 1
Te3 Te 0.5000 0.0000 0.3147 1
Te4 Te 0.0000 0.5000 0.0823 1
Th1 Th 0.5000 0.0000 0.5671 1
Th2 Th 0.0000 0.5000 0.4329 1
N1 N 0.0000 0.0000 0.5000 1
N2 N 0.5000 0.5000 0.5000 1
```

**Total DFT energy (no corrections)**: -6.90 eV per atom
**Formation energy without anion corrections**: -1.540 eV per atom
**Space group**: P4/nmm (129)


# 5
## PmUTeN2 (PBE)

Data for PmUTeN2 after structural relaxation.

Geometry as CIF:
```
data_PmUTeN2
_chemical_formula_sum 'Pm1 U1 Te1 N2'
_cell_length_a 3.9441
_cell_length_b 3.9441
_cell_length_c 7.0056
_cell_angle_alpha 106.35
_cell_angle_beta 106.35
_cell_angle_gamma 90.00
_symmetry_space_group_name_H-M 'P 1'
_symmetry_Int_Tables_number 1
_symmetry_space_group_name_Hall 'P 1'
loop_
_atom_site_label
_atom_site_type_symbol
_atom_site_fract_x
_atom_site_fract_y
_atom_site_fract_z
_atom_site_occupancy
Pm1 Pm 0.8436 0.8436 0.6872 1
N1 N 0.2406 0.7406 0.4812 1
N2 N 0.7406 0.2406 0.4812 1
U1 U 0.1676 0.1676 0.3353 1
Te1 Te 0.5076 0.5076 0.0152 1
```

**Total DFT energy (no corrections)**: -8.63 eV per atom
**Formation energy without anion corrections**: -1.467 eV per atom
**Space group**: I4mm (107)


# 6
## Pm2Y4Te3N2 (PBE)

Data for Pm2Y4Te3N2 after structural relaxation.

Geometry as CIF:
```
data_Pm2Y4Te3N2
_chemical_formula_sum 'Pm2 Y4 Te3 N2'
_cell_length_a 4.6131
_cell_length_b 4.6131
_cell_length_c 13.3297
_cell_angle_alpha 99.96
_cell_angle_beta 99.96
_cell_angle_gamma 90.00
_symmetry_space_group_name_H-M 'P 1'
_symmetry_Int_Tables_number 1
_symmetry_space_group_name_Hall 'P 1'
loop_
_atom_site_label
_atom_site_type_symbol
_atom_site_fract_x
_atom_site_fract_y
_atom_site_fract_z
_atom_site_occupancy
Te1 Te 0.8235 0.8235 0.6470 1
Te2 Te 0.1765 0.1765 0.3530 1
Te3 Te 0.0000 0.0000 0.0000 1
Y1 Y 0.4144 0.9144 0.8288 1
Y2 Y 0.5856 0.0856 0.1712 1
Y3 Y 0.0856 0.5856 0.1712 1
Y4 Y 0.9144 0.4144 0.8288 1
N1 N 0.6015 0.6015 0.2031 1
N2 N 0.3985 0.3985 0.7969 1
Pm1 Pm 0.6960 0.6960 0.3920 1
Pm2 Pm 0.3040 0.3040 0.6080 1
```

**Total DFT energy (no corrections)**: -6.78 eV per atom
**Formation energy without anion corrections**: -1.196 eV per atom
**Space group**: I4/mmm (139)